This record from the Alexandria database describes CrAg2Rh at its PBEsol-relaxed geometry. The functional is meta-GGA SCAN.

Excess energy over the best structure of this formula in the dataset (eV per formula unit): 1.018
Total energy (eV/atom): -28.2927
Energy of formation (eV per atom): 0.430

abc: 2.6895 2.6895 9.3239
angles: 81.71 81.71 60.00
Each line ends with the local moment (μB).
Atoms (fractional coordinates):
Ag  0.7515  0.7515  0.7456  0.05
Rh  0.0000  0.0000  0.0000  -0.35
Ag  0.2485  0.2485  0.2544  0.05
Cr  0.5000  0.5000  0.5000  3.48